(1)
A relaxed structure of LiTm5Co4, computed with PBE-GGA.

Unit cell a=3.299 b=3.299 c=17.811 alpha=90.00 beta=90.00 gamma=90.00
Site moments in Bohr magnetons follow the coordinates.
Fractional coordinates of all 10 atoms:
Li (0.000, 0.000, 0.000)  0.00
Tm (0.500, 0.500, 0.134)  -0.14
Tm (0.500, 0.500, 0.316)  -0.19
Tm (0.500, 0.500, 0.500)  -0.20
Tm (0.500, 0.500, 0.684)  -0.19
Tm (0.500, 0.500, 0.866)  -0.14
Co (0.000, 0.000, 0.219)  0.62
Co (0.000, 0.000, 0.407)  0.55
Co (0.000, 0.000, 0.593)  0.55
Co (0.000, 0.000, 0.781)  0.62

Output
DFT formation energy: -184.3 meV per atom


(2)
A relaxed structure of TlTe2As, computed with PBE-GGA.

Unit cell a=6.939 b=6.939 c=3.103 alpha=63.25 beta=63.25 gamma=78.30
Fractional coordinates of all 4 atoms:
Tl (0.500, 0.000, 0.500)
Te (0.000, 0.000, 0.000)
Te (0.500, 0.500, 0.000)
As (0.000, 0.500, 0.500)

Output
formation energy from raw total energies: 0.108 eV per atom


Number 1: total energy -5.45 eV/atom. Number 2: total energy -3.22 eV/atom.